[1]
Compound: CePaTeN2
Source: the Alexandria database
Functional: GGA-PBE
Structure: optimized geometry

**Formation energy without anion corrections**: -1.67 eV/atom
**Magnetic moment**: 1.04 μB/f.u.

a = 3.988 Å, b = 3.988 Å, c = 12.784 Å
α = 90.00°, β = 90.00°, γ = 90.00°
Space group I4mm (No. 107)
Unique sites:
Ce  0.000  0.000  0.000
Pa  0.000  0.000  0.322
Te  0.000  0.000  0.661
N  0.000  0.500  0.400


[2]
Compound: CePaTe2N
Source: the Alexandria database
Functional: GGA-PBE
Structure: optimized geometry

**Formation energy without anion corrections**: -1.37 eV/atom
**Magnetic moment**: 1.77 μB/f.u.

a = 4.111 Å, b = 4.111 Å, c = 16.528 Å
α = 90.00°, β = 90.00°, γ = 90.00°
Space group P4/nmm (No. 129, origin choice 2)
Unique sites:
Ce  0.250  0.250  0.138
Pa  0.250  0.250  0.566
Te  0.250  0.250  0.327
Te  0.250  0.250  0.922
N  0.250  0.750  0.500


[3]
Compound: CeTh2PaN4
Source: the Alexandria database
Functional: GGA-PBE
Structure: optimized geometry

**Formation energy without anion corrections**: -1.59 eV/atom
**Magnetic moment**: 0.00 μB/f.u.

a = 6.218 Å, b = 3.601 Å, c = 6.229 Å
α = 90.00°, β = 109.42°, γ = 90.00°
Space group P2/m (No. 10)
Unique sites:
Ce  0.000  0.000  0.000
Th  0.500  0.000  0.500
Th  0.500  0.500  0.000
Pa  0.000  0.500  0.500
N  0.229  0.000  0.731
N  0.236  0.500  0.260


[4]
Compound: CeThPa2N4
Source: the Alexandria database
Functional: GGA-PBE
Structure: optimized geometry

**Formation energy without anion corrections**: -1.62 eV/atom
**Magnetic moment**: 0.00 μB/f.u.

a = 6.153 Å, b = 3.568 Å, c = 6.156 Å
α = 90.00°, β = 109.50°, γ = 90.00°
Space group P2/m (No. 10)
Unique sites:
Ce  0.000  0.000  0.000
Th  0.000  0.500  0.500
Pa  0.500  0.000  0.500
Pa  0.500  0.500  0.000
N  0.275  0.000  0.758
N  0.275  0.500  0.258


[5]
Compound: CeThPaN3
Source: the Alexandria database
Functional: GGA-PBE
Structure: optimized geometry

**Formation energy without anion corrections**: -1.40 eV/atom
**Magnetic moment**: 0.46 μB/f.u.

a = 6.178 Å, b = 3.573 Å, c = 9.213 Å
α = 90.00°, β = 102.31°, γ = 90.00°
Space group P2_1/m (No. 11)
Unique sites:
Ce  0.139  0.250  0.181
Th  0.263  0.750  0.545
Pa  0.372  0.250  0.861
N  0.054  0.250  0.672
N  0.234  0.750  0.994
N  0.459  0.750  0.341


[6]
Compound: Ce4Pa3TiN8
Source: the Alexandria database
Functional: GGA-PBE
Structure: optimized geometry

**Formation energy without anion corrections**: -1.57 eV/atom
**Magnetic moment**: 0.00 μB/f.u.

a = 6.9263 Å, b = 6.9263 Å, c = 17.1561 Å
α = 90.00°, β = 90.00°, γ = 120.00°
Space group R-3m (No. 166, hexagonal axes)
Unique sites:
Ce  0.0000  0.0000  0.0000
Ce  0.0000  0.5000  0.0000
Pa  0.0000  0.5000  0.5000
Ti  0.0000  0.0000  0.5000
N  0.0000  0.0000  0.2431
N  0.0158  0.5079  0.2391


[7]
Compound: Ce3Pa3TiN8
Source: the Alexandria database
Functional: GGA-PBE
Structure: optimized geometry

**Formation energy without anion corrections**: -1.48 eV/atom
**Magnetic moment**: 2.38 μB/f.u.

a = 6.8635 Å, b = 6.8635 Å, c = 17.1660 Å
α = 90.00°, β = 90.00°, γ = 120.00°
Space group R-3m (No. 166, hexagonal axes)
Unique sites:
Ce  0.0000  0.5000  0.0000
Pa  0.0000  0.5000  0.5000
Ti  0.0000  0.0000  0.5000
N  0.0000  0.0000  0.2434
N  0.0254  0.5127  0.2351


[8]
Compound: CeTm2PaN4
Source: the Alexandria database
Functional: GGA-PBE
Structure: optimized geometry

**Formation energy without anion corrections**: -1.68 eV/atom
**Magnetic moment**: 0.00 μB/f.u.

a = 6.003 Å, b = 3.464 Å, c = 6.017 Å
α = 90.00°, β = 109.27°, γ = 90.00°
Space group P2/m (No. 10)
Unique sites:
Ce  0.000  0.000  0.000
Tm  0.000  0.500  0.500
Tm  0.500  0.000  0.500
Pa  0.500  0.500  0.000
N  0.258  0.000  0.747
N  0.264  0.500  0.254


[9]
Compound: Ce2TmPaN4
Source: the Alexandria database
Functional: GGA-PBE
Structure: optimized geometry

**Formation energy without anion corrections**: -1.63 eV/atom
**Magnetic moment**: 0.12 μB/f.u.

a = 6.029 Å, b = 3.508 Å, c = 6.130 Å
α = 90.00°, β = 109.05°, γ = 90.00°
Space group P2/m (No. 10)
Unique sites:
Ce  0.000  0.000  0.000
Ce  0.500  0.500  0.000
Tm  0.000  0.500  0.500
Pa  0.500  0.000  0.500
N  0.250  0.000  0.730
N  0.260  0.500  0.274


[10]
Compound: Ce2UPaN6
Source: the Alexandria database
Functional: GGA-PBE
Structure: optimized geometry

**Formation energy without anion corrections**: -1.48 eV/atom
**Magnetic moment**: 1.11 μB/f.u.

a = 5.882 Å, b = 6.002 Å, c = 10.351 Å
α = 90.00°, β = 124.38°, γ = 90.00°
Space group P2_1/c (No. 14)
Unique sites:
Ce  0.238  0.044  0.250
U  0.000  0.000  0.500
Pa  0.500  0.000  0.000
N  0.124  0.199  0.930
N  0.229  0.688  0.935
N  0.371  0.054  0.745


[11]
Compound: Ce4UPaN8
Source: the Alexandria database
Functional: GGA-PBE
Structure: optimized geometry

**Formation energy without anion corrections**: -1.36 eV/atom
**Magnetic moment**: 3.21 μB/f.u.

a = 6.9516 Å, b = 6.9516 Å, c = 17.2818 Å
α = 90.00°, β = 90.00°, γ = 120.00°
Space group R3m (No. 160, hexagonal axes)
Unique sites:
Ce  0.0000  0.0000  0.0000
Ce  0.1671  0.3341  0.4633
U  0.0000  0.0000  0.6311
Pa  0.0000  0.0000  0.2588
N  0.0000  0.0000  0.3843
N  0.0000  0.0000  0.8671
N  0.0471  0.5235  0.3778
N  0.1787  0.3575  0.2189


[12]
Compound: CeU2PaN5
Source: the Alexandria database
Functional: GGA-PBE
Structure: optimized geometry

**Formation energy without anion corrections**: -1.04 eV/atom
**Magnetic moment**: 4.73 μB/f.u.

a = 6.575 Å, b = 6.575 Å, c = 6.244 Å
α = 90.00°, β = 90.00°, γ = 90.00°
Space group P4/mbm (No. 127)
Unique sites:
Ce  0.000  0.000  0.000
U  0.171  0.329  0.500
Pa  0.000  0.500  0.000
N  0.000  0.000  0.500
N  0.162  0.662  0.251


[13]
Compound: Ce2UPaN4
Source: the Alexandria database
Functional: GGA-PBE
Structure: optimized geometry

**Formation energy without anion corrections**: -1.53 eV/atom
**Magnetic moment**: 0.59 μB/f.u.

a = 6.080 Å, b = 3.521 Å, c = 6.094 Å
α = 90.00°, β = 109.43°, γ = 90.00°
Space group P2/m (No. 10)
Unique sites:
Ce  0.000  0.000  0.000
Ce  0.000  0.500  0.500
U  0.500  0.000  0.500
Pa  0.500  0.500  0.000
N  0.277  0.000  0.752
N  0.279  0.500  0.265


[14]
Compound: CeU3Pa2N6
Source: the Alexandria database
Functional: GGA-PBE
Structure: optimized geometry

**Formation energy without anion corrections**: -1.46 eV/atom
**Magnetic moment**: 3.49 μB/f.u.

a = 15.190 Å, b = 3.477 Å, c = 6.967 Å
α = 90.00°, β = 103.56°, γ = 90.00°
Space group C2/m (No. 12)
Unique sites:
Ce  0.000  0.000  0.000
U  0.000  0.000  0.500
U  0.165  0.500  0.833
Pa  0.167  0.500  0.333
N  0.000  0.500  0.266
N  0.165  0.000  0.586
N  0.172  0.000  0.083


[15]
Compound: Ce3UPa2N6
Source: the Alexandria database
Functional: GGA-PBE
Structure: optimized geometry

**Formation energy without anion corrections**: -1.56 eV/atom
**Magnetic moment**: 0.00 μB/f.u.

a = 6.109 Å, b = 10.578 Å, c = 6.093 Å
α = 90.00°, β = 109.53°, γ = 90.00°
Space group C2/m (No. 12)
Unique sites:
Ce  0.000  0.000  0.000
Ce  0.000  0.333  0.000
U  0.000  0.500  0.500
Pa  0.000  0.166  0.500
N  0.237  0.337  0.722
N  0.248  0.000  0.724


[16]
Compound: Ce3Pa3VN8
Source: the Alexandria database
Functional: GGA-PBE
Structure: optimized geometry

**Formation energy without anion corrections**: -1.37 eV/atom
**Magnetic moment**: 0.47 μB/f.u.

a = 6.8285 Å, b = 6.8285 Å, c = 17.0940 Å
α = 90.00°, β = 90.00°, γ = 120.00°
Space group R-3m (No. 166, hexagonal axes)
Unique sites:
Ce  0.0000  0.5000  0.0000
Pa  0.0000  0.5000  0.5000
V  0.0000  0.0000  0.5000
N  0.0000  0.0000  0.2439
N  0.0258  0.5129  0.2358


[17]
Compound: CePaVN3
Source: the Alexandria database
Functional: GGA-PBE
Structure: optimized geometry

**Formation energy without anion corrections**: -1.24 eV/atom
**Magnetic moment**: 0.00 μB/f.u.

a = 7.402 Å, b = 3.326 Å, c = 7.442 Å
α = 90.00°, β = 97.42°, γ = 90.00°
Space group P2_1/m (No. 11)
Unique sites:
Ce  0.156  0.250  0.183
Pa  0.357  0.750  0.822
V  0.102  0.250  0.585
N  0.122  0.250  0.854
N  0.174  0.750  0.463
N  0.413  0.750  0.126


[18]
Compound: CePaVN4
Source: the Alexandria database
Functional: GGA-PBE
Structure: optimized geometry

**Formation energy without anion corrections**: -1.21 eV/atom
**Magnetic moment**: 1.85 μB/f.u.

a = 5.831 Å, b = 5.528 Å, c = 6.767 Å
α = 90.00°, β = 107.99°, γ = 90.00°
Space group P2_1/m (No. 11)
Unique sites:
Ce  0.202  0.250  0.422
Pa  0.287  0.250  0.946
V  0.255  0.750  0.190
N  0.049  0.750  0.353
N  0.051  0.750  0.926
N  0.471  0.504  0.218


[19]
Compound: Ce2PaWN5
Source: the Alexandria database
Functional: GGA-PBE
Structure: optimized geometry

**Formation energy without anion corrections**: -0.94 eV/atom
**Magnetic moment**: 0.88 μB/f.u.

a = 6.516 Å, b = 6.516 Å, c = 5.963 Å
α = 90.00°, β = 90.00°, γ = 90.00°
Space group P4/mbm (No. 127)
Unique sites:
Ce  0.168  0.332  0.000
Pa  0.000  0.000  0.500
W  0.000  0.500  0.500
N  0.000  0.000  0.000
N  0.155  0.655  0.271


[20]
Compound: CeYPaN3
Source: the Alexandria database
Functional: GGA-PBE
Structure: optimized geometry

**Formation energy without anion corrections**: -1.42 eV/atom
**Magnetic moment**: 0.62 μB/f.u.

a = 6.072 Å, b = 3.493 Å, c = 9.111 Å
α = 90.00°, β = 102.02°, γ = 90.00°
Space group P2_1/m (No. 11)
Unique sites:
Ce  0.146  0.250  0.188
Y  0.263  0.750  0.541
Pa  0.367  0.250  0.854
N  0.049  0.250  0.671
N  0.234  0.750  0.993
N  0.459  0.750  0.339